NpAg5Cl12: optimized geometry, PBE.

Results
* DOS(E_F): 0.925 states/eV per atom
* raw formation energy: -735 meV per atom
* space-group type: P-1

abc: 6.716 6.714 13.086
angles: 87.06 79.85 65.21
Site moments in Bohr magnetons follow the coordinates.
Element x y z (fractional)
Np 0.000 0.000 0.000  2.71
Ag 0.500 0.000 0.500  -0.12
Ag 0.156 0.669 0.495  0.25
Ag 0.844 0.331 0.505  0.25
Ag 0.562 0.681 0.184  -0.03
Ag 0.438 0.319 0.816  -0.03
Cl 0.823 0.052 0.393  0.05
Cl 0.177 0.948 0.607  0.05
Cl 0.750 0.972 0.880  -0.06
Cl 0.250 0.028 0.120  -0.06
Cl 0.344 0.705 0.892  -0.06
Cl 0.943 0.703 0.115  -0.06
Cl 0.057 0.297 0.885  -0.06
Cl 0.656 0.295 0.108  -0.06
Cl 0.509 0.303 0.620  0.04
Cl 0.837 0.628 0.614  0.18
Cl 0.162 0.372 0.386  0.18
Cl 0.491 0.697 0.380  0.04